VASP calculation (PBE) on crystalline Li4Ac2GaAu3 at its relaxed geometry. Values from VASP.

```
&SYSTEM
  ibrav = 0, nat = 10, ntyp = 4
/
ATOMIC_SPECIES
Li 6.94 Li.upf
Ac 227.00 Ac.upf
Au 196.97 Au.upf
Ga 69.72 Ga.upf
ATOMIC_POSITIONS crystal
Li 0.0000 0.0000 0.0000
Li 0.5000 0.5000 0.0000
Li 0.5000 0.0000 0.6195
Li 0.0000 0.5000 0.3805
Ac 0.5000 0.0000 0.2643
Ac 0.0000 0.5000 0.7357
Au 0.0000 0.0000 0.5000
Au 0.0000 0.5000 0.1440
Au 0.5000 0.0000 0.8560
Ga 0.5000 0.5000 0.5000
CELL_PARAMETERS angstrom
-0.3124 0.5589 4.3792
-3.7490 -2.3519 0.0327
5.8962 -9.3763 1.6174
```

Properties
Space group = No. 115
Uncorrected energy = -3.403 eV/atom
Formation enthalpy at 0 K = -5.299 eV/f.u.


VASP calculation (PBE) on crystalline AlTcH3 at its relaxed geometry. Values from VASP.

```
&SYSTEM
  ibrav = 0, nat = 20, ntyp = 3
/
ATOMIC_SPECIES
Al 26.98 Al.upf
H 1.01 H.upf
Tc 98.00 Tc.upf
ATOMIC_POSITIONS crystal
Al 0.5201 0.5006 0.7685
Al 0.0201 0.9994 0.2685
Al 0.9799 0.0006 0.7685
Al 0.4799 0.4994 0.2685
H 0.4499 0.0023 0.5265
H 0.3401 0.9968 0.2444
H 0.3210 0.4986 0.8651
H 0.1790 0.9986 0.8651
H 0.9499 0.4977 0.0265
H 0.8210 0.0014 0.3651
H 0.6790 0.5014 0.3651
H 0.0501 0.5023 0.5265
H 0.1599 0.4968 0.2444
H 0.8401 0.5032 0.7444
H 0.5501 0.9977 0.0265
H 0.6599 0.0032 0.7444
Tc 0.8777 0.5014 0.5064
Tc 0.1223 0.4986 0.0064
Tc 0.3777 0.9986 0.0064
Tc 0.6223 0.0014 0.5064
CELL_PARAMETERS angstrom
9.8390 0.0000 0.0000
0.0000 2.9612 0.0000
0.0000 0.0000 6.9662
```

Properties
Energy above the most stable polymorph in this dataset = 0.000 eV/f.u.
Space group = No. 33
Uncorrected energy = -4.802 eV/atom


VASP calculation (PBE) on crystalline LiPr2Ga2 at its relaxed geometry. Values from VASP.

```
&SYSTEM
  ibrav = 0, nat = 10, ntyp = 3
/
ATOMIC_SPECIES
Ga 69.72 Ga.upf
Li 6.94 Li.upf
Pr 140.91 Pr.upf
ATOMIC_POSITIONS crystal
Ga 0.9302 0.7081 0.4315
Ga 0.3761 0.1387 0.1092
Ga 0.6239 0.8613 0.8908
Ga 0.0698 0.2919 0.5685
Li 0.6381 0.0865 0.6372
Li 0.3619 0.9135 0.3628
Pr 0.6899 0.2929 0.3272
Pr 0.3101 0.7071 0.6728
Pr 0.0854 0.7235 0.1058
Pr 0.9146 0.2765 0.8942
CELL_PARAMETERS angstrom
-1.3045 0.0752 4.5290
4.3745 -0.8137 3.7265
1.2512 9.6166 2.6536
```

Properties
Space group = No. 12
Uncorrected energy = -3.952 eV/atom
Formation enthalpy at 0 K = -2.233 eV/f.u.


VASP calculation (PBE) on crystalline Tb5CeTl4 at its relaxed geometry. Values from VASP.

```
&SYSTEM
  ibrav = 0, nat = 10, ntyp = 3
/
ATOMIC_SPECIES
Tl 204.38 Tl.upf
Tb 158.93 Tb.upf
Ce 140.12 Ce.upf
ATOMIC_POSITIONS crystal
Tl 0.0000 0.0000 0.5979
Tl 0.0000 0.0000 0.2057
Tl 0.0000 0.0000 0.7943
Tl 0.0000 0.0000 0.4021
Tb 0.5000 0.5000 0.1093
Tb 0.5000 0.5000 0.6957
Tb 0.5000 0.5000 0.5000
Tb 0.5000 0.5000 0.3043
Tb 0.5000 0.5000 0.8907
Ce 0.0000 0.0000 0.0000
CELL_PARAMETERS angstrom
3.5831 0.0000 0.0000
0.0000 3.5831 0.0000
0.0000 0.0000 21.9193
```

Properties
Energy above the most stable polymorph in this dataset = 0.000 eV/f.u.
Space group = No. 123
Uncorrected energy = -4.127 eV/atom
Formation enthalpy at 0 K = -2.720 eV/f.u.


We obtain DOS at the Fermi energy values of 5.5; 7.5; 7.4; 7.7 states/eV/cell for the records listed above, in that order.
We obtain magnetic moment values of 0.00; 0.00; 0.00; 0.03 Bohr magnetons per cell for the records listed above, in that order.